[1]
# Li4AcHo PBE-GGA relaxed
data_Li4AcHo
_chemical_formula_sum 'Li16 Ac4 Ho4'
_space_group_name_H-M_alt 'F -4 3 m'
_space_group_IT_number 216
_space_group_name_Hall 'F -4 2 3'
_cell_length_a 8.548
_cell_length_b 8.548
_cell_length_c 8.548
_cell_angle_alpha 90.00
_cell_angle_beta 90.00
_cell_angle_gamma 90.00
loop_
_atom_site_label
_atom_site_type_symbol
_atom_site_fract_x
_atom_site_fract_y
_atom_site_fract_z
_atom_site_occupancy
Li1 Li 0.123 0.123 0.123 1
Ac1 Ac 0.000 0.000 0.500 1
Ho1 Ho 0.250 0.250 0.750 1
# Total magnetization ... 0.00 μB/f.u.
# ΔH_f (0 K) ... 0.100 eV per atom



[2]
# In3HgPd6 PBE-GGA relaxed
data_In3HgPd6
_chemical_formula_sum 'In12 Hg4 Pd24'
_space_group_name_H-M_alt 'C m c 21'
_space_group_IT_number 36
_cell_length_a 10.614
_cell_length_b 11.954
_cell_length_c 5.922
_cell_angle_alpha 90.00
_cell_angle_beta 90.00
_cell_angle_gamma 90.00
loop_
_space_group_symop_operation_xyz
'x,y,z'
'-x,-y,z+1/2'
'-x,y,z'
'x,-y,z+1/2'
'x+1/2,y+1/2,z'
'-x+1/2,-y+1/2,z+1/2'
'-x+1/2,y+1/2,z'
'x+1/2,-y+1/2,z+1/2'
loop_
_atom_site_label
_atom_site_type_symbol
_atom_site_fract_x
_atom_site_fract_y
_atom_site_fract_z
_atom_site_occupancy
In1 In 0.000 0.096 0.000 1
In2 In 0.205 0.437 0.242 1
Hg1 Hg 0.000 0.296 0.721 1
Pd1 Pd 0.000 0.291 0.244 1
Pd2 Pd 0.000 0.496 0.986 1
Pd3 Pd 0.131 0.093 0.407 1
Pd4 Pd 0.238 0.220 0.059 1
# Total magnetization ... 0.00 μB/f.u.
# ΔH_f (0 K) ... -0.278 eV per atom
# Energy above the lowest structure with this stoichiometry ... 0.1308 eV/atom



[3]
# Ca2MgTl2 PBE-GGA relaxed
data_Ca2MgTl2
_chemical_formula_sum 'Ca4 Mg2 Tl4'
_space_group_name_H-M_alt 'P 4/m b m'
_space_group_IT_number 127
_space_group_name_Hall '-P 4 2ab'
_cell_length_a 8.959
_cell_length_b 8.959
_cell_length_c 3.865
_cell_angle_alpha 90.00
_cell_angle_beta 90.00
_cell_angle_gamma 90.00
loop_
_atom_site_label
_atom_site_type_symbol
_atom_site_fract_x
_atom_site_fract_y
_atom_site_fract_z
_atom_site_occupancy
Ca1 Ca 0.148 0.352 0.000 1
Mg1 Mg 0.000 0.000 0.000 1
Tl1 Tl 0.151 0.651 0.500 1
# Total magnetization ... 0.00 μB/f.u.
# ΔH_f (0 K) ... -0.134 eV per atom
# Energy above the lowest structure with this stoichiometry ... 0.1538 eV/atom